Record 1
# LaHoNiPt

Crystalline LaHoNiPt at its relaxed geometry (GGA-PBE, Alexandria).

Unit cell a=4.5004 b=5.5251 c=5.5251 alpha=41.37 beta=90.00 gamma=90.00
Closest atoms and distances in Å follow each position.
Atoms (fractional coordinates):
La: 0.0000 0.0000 0.0000  3 Ni 2.83-3.05, 4 Pt 3.06
Ho: 0.5000 0.2793 0.2793  3 Pt 2.93-2.98, 4 Ni 3.03
Ni: 0.0000 0.7261 0.7261  2 Pt 2.79, 3 La 2.83-3.05, 4 Ho 3.03
Pt: 0.5000 0.5674 0.5674  2 Ni 2.79, 3 Ho 2.93-2.98, 4 La 3.06

Values from the calculation:
Energy of formation from the pure elements: -3.24 eV per formula unit
Total energy: -6.14 eV/atom
Relative energy among the computed polymorphs: 0.000 eV per atom

Record 2
# LaHoNiPt

Crystalline LaHoNiPt at its relaxed geometry (GGA-PBE, Alexandria).

Unit cell a=4.9928 b=4.9928 c=4.9928 alpha=60.00 beta=60.00 gamma=60.00
Closest atoms and distances in Å follow each position.
Atoms (fractional coordinates):
La: 0.0000 0.0000 0.0000  4 Ni 3.06, 4 Pt 3.06
Ho: 0.5000 0.5000 0.5000  4 Ni 3.06, 4 Pt 3.06
Ni: 0.7500 0.7500 0.7500  4 La 3.06, 4 Ho 3.06
Pt: 0.2500 0.2500 0.2500  4 Ho 3.06, 4 La 3.06

Values from the calculation:
Energy of formation from the pure elements: -2.83 eV per formula unit
Total energy: -6.04 eV/atom
Relative energy among the computed polymorphs: 0.103 eV per atom